PmNd6Er5: optimized geometry, GGA-PBE.

POSCAR file:
```
PmNd6Er5
1.0
2.561 -7.693 0.000
2.561 7.693 0.000
0.000 0.000 10.080
Pm Nd Er
1 6 5
Direct
0.000 0.000 0.000
0.167 0.833 0.251
0.167 0.833 0.749
0.500 0.500 0.252
0.500 0.500 0.748
0.833 0.167 0.251
0.833 0.167 0.749
0.000 0.000 0.500
0.332 0.668 0.000
0.333 0.667 0.500
0.667 0.333 0.500
0.668 0.332 0.000
```

Output
Its spin magnetization is 0.00 Bohr magnetons per cell.

---

Mn24Os5: optimized geometry, GGA-PBE.

POSCAR file:
```
Mn24Os5
1.0
-4.351 4.351 4.351
4.351 -4.351 4.351
4.351 4.351 -4.351
Mn Os
24 5
Direct
0.000 0.193 0.372
0.000 0.372 0.193
0.000 0.390 0.676
0.000 0.676 0.390
0.180 0.807 0.807
0.193 0.000 0.372
0.193 0.372 0.000
0.286 0.610 0.610
0.324 0.324 0.714
0.324 0.714 0.324
0.372 0.000 0.193
0.372 0.193 0.000
0.390 0.000 0.676
0.390 0.676 0.000
0.610 0.286 0.610
0.610 0.610 0.286
0.628 0.628 0.820
0.628 0.820 0.628
0.676 0.000 0.390
0.676 0.390 0.000
0.714 0.324 0.324
0.807 0.180 0.807
0.807 0.807 0.180
0.820 0.628 0.628
0.000 0.000 0.000
0.000 0.000 0.632
0.000 0.632 0.000
0.368 0.368 0.368
0.632 0.000 0.000
```

Output
Its spin magnetization is 0.00 Bohr magnetons per cell.

---

no.,Fermi-level density of states (states/eV/cell),energy of formation from the pure elements (eV/atom)
1,16.62,0.0172
2,34.31,-0.0209